Record 1
Cs2CdCuCl6 | PBE | optimized geometry

Output
Raw formation energy   -1.27 eV/atom
Calculated volume   28.94 A^3/atom
Uncorrected energy   -3.053 eV/atom
SG   No. 166
Magnetization   0.10 μB per atom

```
Cs2CdCuCl6
1.0
3.690 2.131 12.270
-3.690 2.131 12.270
0.000 -4.261 12.270
Cs Cd Cu Cl
4 2 2 12
direct
0.125 0.125 0.125 Cs
0.292 0.292 0.292 Cs
0.708 0.708 0.708 Cs
0.875 0.875 0.875 Cs
0.411 0.411 0.411 Cd
0.589 0.589 0.589 Cd
0.000 0.000 0.000 Cu
0.500 0.500 0.500 Cu
0.151 0.615 0.615 Cl
0.199 0.199 0.720 Cl
0.199 0.720 0.199 Cl
0.280 0.801 0.801 Cl
0.385 0.385 0.849 Cl
0.385 0.849 0.385 Cl
0.615 0.151 0.615 Cl
0.615 0.615 0.151 Cl
0.720 0.199 0.199 Cl
0.801 0.280 0.801 Cl
0.801 0.801 0.280 Cl
0.849 0.385 0.385 Cl
```


Record 2
Dy2TmZn9 | PBE | optimized geometry

Output
Calculated volume   18.15 A^3/atom
Uncorrected energy   -2.398 eV/atom
SG   No. 166
Magnetization   0.00 μB per atom

```
Dy2TmZn9
1.0
2.713 1.566 8.544
-2.713 1.566 8.544
0.000 -3.133 8.544
Dy Tm Zn
2 1 9
direct
0.139 0.139 0.139 Dy
0.861 0.861 0.861 Dy
0.000 0.000 0.000 Tm
0.077 0.585 0.585 Zn
0.335 0.335 0.335 Zn
0.415 0.415 0.923 Zn
0.415 0.923 0.415 Zn
0.500 0.500 0.500 Zn
0.585 0.077 0.585 Zn
0.585 0.585 0.077 Zn
0.665 0.665 0.665 Zn
0.923 0.415 0.415 Zn
```


Record 3
SnRh3O | PBE | optimized geometry

Output
Raw formation energy   1.71 eV/atom
Calculated volume   23.89 A^3/atom
Uncorrected energy   -4.496 eV/atom
SG   No. 221
Magnetization   0.75 μB per atom

```
SnRh3O
1.0
4.925 0.000 0.000
0.000 4.925 0.000
0.000 0.000 4.925
Sn Rh O
1 3 1
direct
0.000 0.000 0.000 Sn
0.000 0.000 0.500 Rh
0.000 0.500 0.000 Rh
0.500 0.000 0.000 Rh
0.500 0.500 0.500 O
```


Record 4
Y2NiCl | PBE | optimized geometry

Output
Raw formation energy   -0.57 eV/atom
Calculated volume   22.52 A^3/atom
Uncorrected energy   -5.706 eV/atom
SG   No. 71
Magnetization   0.00 μB per atom

```
Y2NiCl
1.0
-2.005 2.950 3.807
2.005 -2.950 3.807
2.005 2.950 -3.807
Y Ni Cl
2 1 1
direct
0.246 0.246 0.000 Y
0.754 0.754 0.000 Y
0.000 0.500 0.500 Ni
0.500 0.000 0.500 Cl
```


Record 5
BaH2RuI | PBE | optimized geometry

Output
Calculated volume   23.89 A^3/atom
Uncorrected energy   -3.481 eV/atom
SG   No. 123
Magnetization   0.37 μB per atom

```
BaH2RuI
1.0
4.504 0.000 0.000
0.000 4.504 0.000
0.000 0.000 5.888
Ba H Ru I
1 2 1 1
direct
0.000 0.000 0.000 Ba
0.000 0.500 0.500 H
0.500 0.000 0.500 H
0.000 0.000 0.500 Ru
0.500 0.500 0.000 I
```


Record 6
EuThCuAu | PBE | optimized geometry

Output
Calculated volume   24.67 A^3/atom
Uncorrected energy   -6.587 eV/atom
SG   No. 216
Magnetization   1.80 μB per atom

```
EuThCuAu
1.0
0.000 3.668 3.668
3.668 0.000 3.668
3.668 3.668 0.000
Eu Th Cu Au
1 1 1 1
direct
0.000 0.000 0.000 Eu
0.500 0.500 0.500 Th
0.750 0.750 0.750 Cu
0.250 0.250 0.250 Au
```


Record 7
Al2SiN | PBE | optimized geometry

Output
Raw formation energy   0.80 eV/atom
Calculated volume   13.28 A^3/atom
Uncorrected energy   -4.512 eV/atom
SG   No. 225
Magnetization   0.00 μB per atom

```
Al2SiN
1.0
0.000 2.984 2.984
2.984 0.000 2.984
2.984 2.984 0.000
Al Si N
2 1 1
direct
0.250 0.250 0.250 Al
0.750 0.750 0.750 Al
0.000 0.000 0.000 Si
0.500 0.500 0.500 N
```


Record 8
Ce4DyO9 | PBE | optimized geometry

Output
Raw formation energy   -3.47 eV/atom
Calculated volume   14.68 A^3/atom
Uncorrected energy   -8.682 eV/atom
SG   No. 44
Magnetization   0.09 μB per atom

```
Ce4DyO9
1.0
-1.906 9.767 2.760
1.906 -9.767 2.760
1.906 9.767 -2.760
Ce Dy O
4 1 9
direct
0.105 0.000 0.105 Ce
0.293 0.991 0.301 Ce
0.690 0.991 0.699 Ce
0.895 0.000 0.895 Ce
0.440 0.940 0.500 Dy
0.040 0.243 0.798 O
0.135 0.739 0.396 O
0.234 0.234 0.000 O
0.343 0.739 0.604 O
0.445 0.243 0.202 O
0.548 0.745 0.804 O
0.662 0.244 0.418 O
0.826 0.244 0.582 O
0.941 0.745 0.196 O
```


Record 9
Li3NpGe2S6 | PBE | optimized geometry

Output
Raw formation energy   -0.91 eV/atom
Calculated volume   19.47 A^3/atom
Uncorrected energy   -5.299 eV/atom
SG   No. 12
Magnetization   0.17 μB per atom

```
Li3NpGe2S6
1.0
3.352 -5.807 0.000
3.352 5.807 0.000
-2.230 0.000 6.003
Li Np Ge S
3 1 2 6
direct
0.000 0.000 0.000 Li
0.329 0.671 0.000 Li
0.671 0.329 0.000 Li
0.500 0.500 0.500 Np
0.166 0.834 0.500 Ge
0.834 0.166 0.500 Ge
0.094 0.418 0.255 S
0.256 0.256 0.741 S
0.418 0.094 0.255 S
0.582 0.906 0.745 S
0.744 0.744 0.259 S
0.906 0.582 0.745 S
```


Record 10
SmGaCu | PBE | optimized geometry

Output
Calculated volume   19.63 A^3/atom
Uncorrected energy   -4.186 eV/atom
SG   No. 107
Magnetization   0.00 μB per atom

```
SmGaCu
1.0
-1.640 1.640 5.472
1.640 -1.640 5.472
1.640 1.640 -5.472
Sm Ga Cu
1 1 1
direct
0.000 0.000 0.000 Sm
0.698 0.698 0.000 Ga
0.312 0.312 0.000 Cu
```


- The lowest uncorrected energy belongs to which entry?
  Ce4DyO9


- Look up the calculated volume of the seventh one.
  13.28 A^3/atom